# 1
Below is an optimized crystal structure of NaRe3Mo, with properties calculated at the PBE level.

**Offset from the most stable computed form**: 0.00 kcal/mol of atoms
**Calculated formation energy**: 2.088 eV/atom

The structure in POSCAR format:
```
NaRe3Mo
1.0
4.7836 0.0000 0.0000
0.0000 4.7836 0.0000
0.0000 0.0000 4.7836
Na Re Mo
1 3 1
Direct
0.5000 0.5000 0.5000
0.0000 0.5000 0.0000
0.5000 0.0000 0.0000
0.0000 0.0000 0.5000
0.0000 0.0000 0.0000
```

---

# 2
Below is an optimized crystal structure of NaReMo3, with properties calculated at the PBE level.

**Offset from the most stable computed form**: 0.00 kcal/mol of atoms
**Calculated formation energy**: 1.603 eV/atom

The structure in POSCAR format:
```
NaReMo3
1.0
-0.8617 -4.7404 -0.0948
3.6940 -0.7316 3.0070
-2.9723 0.4650 3.7646
Mo Re Na
3 1 1
Direct
0.0000 0.0000 0.5000
0.5000 0.0000 0.0000
0.0000 0.5000 0.0000
0.0000 0.0000 0.0000
0.5000 0.5000 0.5000
```

---

# 3
Below is an optimized crystal structure of NaRe2Mo, with properties calculated at the PBE level.

**Offset from the most stable computed form**: 9.94 kcal/mol of atoms
**Calculated formation energy**: 1.336 eV/atom

The structure in POSCAR format:
```
NaRe2Mo
1.0
7.3512 0.0000 0.0000
0.0000 7.3512 0.0000
3.6756 3.6756 2.6761
Na Mo Re
2 2 4
Direct
0.5000 0.5000 0.0000
0.2500 0.7500 0.5000
0.0000 0.0000 0.0000
0.7500 0.2500 0.5000
0.3750 0.3352 0.7500
0.8750 0.9148 0.7500
0.6648 0.1250 0.2500
0.0852 0.6250 0.2500
```

---

# 4
Below is an optimized crystal structure of NaReMo3, with properties calculated at the PBE level.

**Offset from the most stable computed form**: 25.70 kcal/mol of atoms
**Calculated formation energy**: 2.718 eV/atom

The structure in POSCAR format:
```
NaReMo3
1.0
-3.9940 1.8811 -0.0550
-1.8297 -3.9118 -0.9183
-0.4400 -0.8079 4.3182
Mo Re Na
3 1 1
Direct
0.0000 0.0000 0.5000
0.5000 0.0000 0.0000
0.0000 0.5000 0.0000
0.5000 0.5000 0.5000
0.0000 0.0000 0.0000
```

---

# 5
Below is an optimized crystal structure of NaRe3Mo, with properties calculated at the PBE level.

**Offset from the most stable computed form**: 20.03 kcal/mol of atoms
**Calculated formation energy**: 2.956 eV/atom

The structure in POSCAR format:
```
NaRe3Mo
1.0
-0.3476 -2.3236 3.7073
-2.4389 -2.9846 -2.0994
3.6324 -2.2263 -1.0549
Re Mo Na
3 1 1
Direct
0.0000 0.0000 0.5000
0.0000 0.5000 0.0000
0.5000 0.0000 0.0000
0.5000 0.5000 0.5000
0.0000 0.0000 0.0000
```

---

# 6
Below is an optimized crystal structure of NaReMo2, with properties calculated at the PBE level.

**Offset from the most stable computed form**: 0.00 kcal/mol of atoms
**Calculated formation energy**: 0.788 eV/atom

The structure in POSCAR format:
```
NaReMo2
1.0
0.0000 3.1704 3.1704
3.1704 0.0000 3.1704
3.1704 3.1704 0.0000
Na Mo Re
1 2 1
Direct
0.0000 0.0000 0.0000
0.2500 0.2500 0.2500
0.7500 0.7500 0.7500
0.5000 0.5000 0.5000
```

---

# 7
Below is an optimized crystal structure of NaRe2Mo, with properties calculated at the PBE level.

**Offset from the most stable computed form**: 0.00 kcal/mol of atoms
**Calculated formation energy**: 0.905 eV/atom

The structure in POSCAR format:
```
NaRe2Mo
1.0
3.2245 -1.3516 2.7613
-0.7867 -0.2790 4.3763
-0.2761 -3.9895 1.9638
Na Re Mo
1 2 1
Direct
0.0000 0.0000 0.0000
0.7500 0.7500 0.7500
0.2500 0.2500 0.2500
0.5000 0.5000 0.5000
```

---

# 8
Below is an optimized crystal structure of NaReMoRh2, with properties calculated at the PBE level.

**Calculated formation energy**: 1.126 eV/atom

The structure in POSCAR format:
```
NaReMoRh2
1.0
4.8004 0.0000 0.0000
0.0000 4.7542 0.0000
0.0000 0.0000 4.8004
Rh Re Na Mo
2 1 1 1
Direct
0.5000 0.0000 0.0000
0.0000 0.0000 0.5000
0.0000 0.0000 0.0000
0.5000 0.5000 0.5000
0.0000 0.5000 0.0000
```

---

# 9
Below is an optimized crystal structure of Na2SrReMo, with properties calculated at the PBE level.

**Calculated formation energy**: 2.676 eV/atom

The structure in POSCAR format:
```
Na2SrReMo
1.0
-0.2453 4.6701 2.3252
0.6621 -2.3072 4.7037
5.1757 0.5101 -0.4784
Na Mo Re Sr
2 1 1 1
Direct
0.0000 0.0000 0.5000
0.5000 0.0000 0.0000
0.0000 0.0000 0.0000
0.5000 0.5000 0.5000
0.0000 0.5000 0.0000
```

---

# 10
Below is an optimized crystal structure of NaTiReMo2, with properties calculated at the PBE level.

**Calculated formation energy**: 1.662 eV/atom

The structure in POSCAR format:
```
NaTiReMo2
1.0
-4.0196 -1.8771 1.3763
2.2979 -2.7285 2.9896
-0.3989 3.2614 3.2832
Na Re Mo Ti
1 1 2 1
Direct
0.5000 0.5000 0.5000
0.0000 0.5000 0.0000
0.5000 0.0000 0.0000
0.0000 0.0000 0.5000
0.0000 0.0000 0.0000
```

---

# 11
Below is an optimized crystal structure of NaMoRh3, with properties calculated at the PBE level.

**Offset from the most stable computed form**: 0.00 kcal/mol of atoms
**Calculated formation energy**: 0.787 eV/atom

The structure in POSCAR format:
```
NaMoRh3
1.0
-4.5462 0.4238 1.2282
0.8984 -2.2037 4.0857
0.9386 4.1618 2.0383
Mo Rh Na
1 3 1
Direct
0.0000 0.0000 0.0000
0.0000 0.5000 0.0000
0.5000 0.0000 0.0000
0.0000 0.0000 0.5000
0.5000 0.5000 0.5000
```

---

# 12
Below is an optimized crystal structure of Na3MoRh, with properties calculated at the PBE level.

**Offset from the most stable computed form**: 0.00 kcal/mol of atoms
**Calculated formation energy**: 1.400 eV/atom

The structure in POSCAR format:
```
Na3MoRh
1.0
-4.7816 -2.2295 -0.2282
1.3059 -3.2087 3.9856
-1.8214 3.5524 3.4568
Na Mo Rh
3 1 1
Direct
0.0000 0.5000 0.0000
0.0000 0.0000 0.5000
0.5000 0.0000 0.0000
0.5000 0.5000 0.5000
0.0000 0.0000 0.0000
```

---

# 13
Below is an optimized crystal structure of Na2Mo2Rh, with properties calculated at the PBE level.

**Offset from the most stable computed form**: 4.82 kcal/mol of atoms
**Calculated formation energy**: 1.267 eV/atom

The structure in POSCAR format:
```
Na2Mo2Rh
1.0
8.6296 0.0000 0.0000
0.0000 8.6296 0.0000
0.0000 0.0000 2.6782
Mo Na Rh
4 4 2
Direct
0.4080 0.0920 0.5000
0.5920 0.9080 0.5000
0.9080 0.4080 0.5000
0.0920 0.5920 0.5000
0.2012 0.2988 0.0000
0.2988 0.7988 0.0000
0.7988 0.7012 0.0000
0.7012 0.2012 0.0000
0.0000 0.0000 0.0000
0.5000 0.5000 0.0000
```

---

# 14
Below is an optimized crystal structure of Na3MoRh, with properties calculated at the PBE level.

**Offset from the most stable computed form**: 10.28 kcal/mol of atoms
**Calculated formation energy**: 1.846 eV/atom

The structure in POSCAR format:
```
Na3MoRh
1.0
5.5898 0.0000 0.0000
0.0000 5.5898 0.0000
0.0000 0.0000 5.5898
Mo Na Rh
1 3 1
Direct
0.0000 0.0000 0.0000
0.0000 0.5000 0.0000
0.0000 0.0000 0.5000
0.5000 0.0000 0.0000
0.5000 0.5000 0.5000
```

---

# 15
Below is an optimized crystal structure of NaMo2Rh2, with properties calculated at the PBE level.

**Offset from the most stable computed form**: 1.88 kcal/mol of atoms
**Calculated formation energy**: 0.187 eV/atom

The structure in POSCAR format:
```
NaMo2Rh2
1.0
7.8165 0.0000 0.0000
0.0000 7.8165 0.0000
0.0000 0.0000 2.7475
Mo Na Rh
4 2 4
Direct
0.6596 0.8404 0.5000
0.3404 0.1596 0.5000
0.1596 0.6596 0.5000
0.8404 0.3404 0.5000
0.0000 0.0000 0.0000
0.5000 0.5000 0.0000
0.3688 0.8688 0.0000
0.6312 0.1312 0.0000
0.1312 0.3688 0.0000
0.8688 0.6312 0.0000
```

---

# 16
Below is an optimized crystal structure of Na2MoRh, with properties calculated at the PBE level.

**Offset from the most stable computed form**: 0.00 kcal/mol of atoms
**Calculated formation energy**: 1.129 eV/atom

The structure in POSCAR format:
```
Na2MoRh
1.0
-9.2101 -1.8309 1.9365
1.9764 -9.3662 0.5443
-3.1745 -5.3704 3.5599
Na Rh Mo
4 2 2
Direct
0.3750 0.2713 0.7500
0.8750 0.9787 0.7500
0.7287 0.1250 0.2500
0.0213 0.6250 0.2500
0.7500 0.2500 0.5000
0.0000 0.0000 0.0000
0.5000 0.5000 0.0000
0.2500 0.7500 0.5000
```

---

# 17
Below is an optimized crystal structure of NaMo3Rh, with properties calculated at the PBE level.

**Offset from the most stable computed form**: 0.00 kcal/mol of atoms
**Calculated formation energy**: 1.681 eV/atom

The structure in POSCAR format:
```
NaMo3Rh
1.0
-4.6426 0.5174 1.0988
-1.1600 -0.6038 -4.6172
-0.3596 -4.7325 0.7092
Mo Rh Na
3 1 1
Direct
0.0000 0.5000 0.0000
0.0000 0.0000 0.5000
0.5000 0.0000 0.0000
0.0000 0.0000 0.0000
0.5000 0.5000 0.5000
```

---

# 18
Below is an optimized crystal structure of Na2Mo2Rh, with properties calculated at the PBE level.

**Offset from the most stable computed form**: 0.00 kcal/mol of atoms
**Calculated formation energy**: 1.058 eV/atom

The structure in POSCAR format:
```
Na2Mo2Rh
1.0
-1.8221 -1.1235 2.6868
2.4156 -2.3534 0.6541
4.9898 4.7128 7.5507
Na Mo Rh
2 2 1
Direct
0.5965 0.5965 0.8070
0.4035 0.4035 0.1930
0.7500 0.2500 0.5000
0.2500 0.7500 0.5000
0.0000 0.0000 0.0000
```

---

# 19
Below is an optimized crystal structure of NaMo2Rh2, with properties calculated at the PBE level.

**Offset from the most stable computed form**: 0.00 kcal/mol of atoms
**Calculated formation energy**: 0.105 eV/atom

The structure in POSCAR format:
```
NaMo2Rh2
1.0
7.8591 0.0000 0.0000
0.0000 7.8591 0.0000
0.0000 0.0000 2.7310
Mo Rh Na
4 4 2
Direct
0.6168 0.1168 0.0000
0.8832 0.6168 0.0000
0.3832 0.8832 0.0000
0.1168 0.3832 0.0000
0.6714 0.8286 0.5000
0.1714 0.6714 0.5000
0.8286 0.3286 0.5000
0.3286 0.1714 0.5000
0.5000 0.5000 0.0000
0.0000 0.0000 0.0000
```

---

# 20
Below is an optimized crystal structure of Na2MoRh, with properties calculated at the PBE level.

**Offset from the most stable computed form**: 2.44 kcal/mol of atoms
**Calculated formation energy**: 1.234 eV/atom

The structure in POSCAR format:
```
Na2MoRh
1.0
-3.0615 2.3369 2.8340
-1.6683 4.2875 -1.3036
-4.5729 0.4890 -1.3092
Na Mo Rh
2 1 1
Direct
0.2500 0.2500 0.2500
0.7500 0.7500 0.7500
0.0000 0.0000 0.0000
0.5000 0.5000 0.5000
```

---

no.,D(E_F) (states/eV per atom)
1,0.938
2,1.406
3,1.111
4,1.222
5,1.115
6,1.175
7,1.277
8,0.729
9,3.672
10,1.008
11,0.488
12,0.886
13,1.118
14,0.284
15,0.812
16,0.778
17,1.174
18,1.558
19,0.617
20,0.796